No. 1
The following is a DFT calculation (PBE) of a relaxed La6TeIr3 crystal.

Lattice parameters (Å, degrees): 12.249 4.296 12.362 90.00 108.00 90.00
Fractional coordinates of all 20 atoms:
La1 0.032 0.250 0.399
La2 0.111 0.250 0.958
La3 0.199 0.750 0.262
La4 0.264 0.750 0.776
La5 0.352 0.250 0.549
La6 0.426 0.750 0.092
La7 0.574 0.250 0.908
La8 0.648 0.750 0.451
La9 0.736 0.250 0.224
La10 0.801 0.250 0.738
La11 0.889 0.750 0.042
La12 0.968 0.750 0.601
Te1 0.437 0.250 0.317
Te2 0.563 0.750 0.683
Ir1 0.033 0.250 0.168
Ir2 0.185 0.750 0.502
Ir3 0.344 0.250 0.925
Ir4 0.656 0.750 0.075
Ir5 0.815 0.250 0.498
Ir6 0.967 0.750 0.832

Properties
- Space-group type: P2_1/m, No. 11
- Formation energy without anion corrections: -862 meV per atom
- E_tot: -6.79 eV/atom
- Total moment: 0.000 μB per formula unit
- Calculated volume: 618.7 Å³ per cell
- Crystal system: monoclinic

---

No. 2
The following is a DFT calculation (PBE) of a relaxed K2ReRuC crystal.

Lattice parameters (Å, degrees): 5.876 5.876 3.880 90.00 90.00 90.00
Fractional coordinates of all 5 atoms:
K1 0.000 0.500 0.000
K2 0.500 0.000 0.000
Re1 0.000 0.000 0.500
Ru1 0.500 0.500 0.500
C1 0.000 0.000 0.000

Properties
- Space-group type: P4/mmm, No. 123
- E_tot: -4.85 eV/atom
- Total moment: 4.334 μB per formula unit
- Calculated volume: 134.0 Å³ per cell
- Crystal system: tetragonal

---

No. 3
The following is a DFT calculation (PBE) of a relaxed Tl3FeP crystal.

Lattice parameters (Å, degrees): 5.321 5.321 5.321 90.00 90.00 90.00
Fractional coordinates of all 5 atoms:
Tl1 0.000 0.000 0.500
Tl2 0.000 0.500 0.000
Tl3 0.500 0.000 0.000
Fe1 0.500 0.500 0.500
P1 0.000 0.000 0.000

Properties
- Space-group type: Pm-3m, No. 221
- E_tot: -3.22 eV/atom
- Total moment: 3.264 μB per formula unit
- Distance to the lowest polymorph of the same formula: 304.4 meV per atom
- Calculated volume: 150.6 Å³ per cell
- Crystal system: cubic

---

No. 4
The following is a DFT calculation (PBE) of a relaxed Zn2SiNi crystal.

Lattice parameters (Å, degrees): 2.949 3.470 5.162 90.00 90.00 90.00
Fractional coordinates of all 4 atoms:
Zn1 0.000 0.000 0.000
Zn2 0.500 0.500 0.244
Si1 0.500 0.500 0.719
Ni1 0.000 0.000 0.518

Properties
- Space-group type: Pmm2, No. 25
- Formation energy without anion corrections: -80 meV per atom
- E_tot: -3.52 eV/atom
- Total moment: 0.000 μB per formula unit
- Calculated volume: 52.8 Å³ per cell
- Crystal system: orthorhombic

---

No. 5
The following is a DFT calculation (PBE) of a relaxed As2RhAu crystal.

Lattice parameters (Å, degrees): 3.481 3.586 5.733 90.00 90.00 90.00
Fractional coordinates of all 4 atoms:
As1 0.000 0.000 0.000
As2 0.500 0.500 0.389
Rh1 0.500 0.500 0.841
Au1 0.000 0.000 0.547

Properties
- Space-group type: Pmm2, No. 25
- E_tot: -4.95 eV/atom
- Total moment: 0.000 μB per formula unit
- Calculated volume: 71.6 Å³ per cell
- Crystal system: orthorhombic

---

No. 6
The following is a DFT calculation (PBE) of a relaxed Fe3BiSe crystal.

Lattice parameters (Å, degrees): 4.492 4.492 4.492 90.00 90.00 90.00
Fractional coordinates of all 5 atoms:
Fe1 0.000 0.000 0.500
Fe2 0.000 0.500 0.000
Fe3 0.500 0.000 0.000
Bi1 0.500 0.500 0.500
Se1 0.000 0.000 0.000

Properties
- Space-group type: Pm-3m, No. 221
- Formation energy without anion corrections: 616 meV per atom
- E_tot: -5.93 eV/atom
- Total moment: 6.126 μB per formula unit
- Distance to the lowest polymorph of the same formula: 0.0 meV per atom
- Calculated volume: 90.6 Å³ per cell
- Crystal system: cubic